# TeMoP2 GGA-PBE optimized geometry
data_TeMoP2
_chemical_formula_sum 'Te2 Mo2 P4'
_cell_length_a 6.5741
_cell_length_b 6.5825
_cell_length_c 3.1298
_cell_angle_alpha 90.00
_cell_angle_beta 90.00
_cell_angle_gamma 90.00
_space_group_name_H-M_alt 'C m m m'
_space_group_IT_number 65
_space_group_name_Hall '-C 2 2'
loop_
_atom_site_label
_atom_site_fract_x
_atom_site_fract_y
_atom_site_fract_z
Te1 0.0000 0.0000 0.0000
Mo1 0.0000 0.5000 0.0000
P1 0.2500 0.2500 0.5000
# **Total magnetization**: 0.002 μB per formula unit
# **N(E_F)**: 0.927 states/eV per atom
# **Energy**: -5.534 eV/atom